[1]
The following is a PBE-GGA calculation of an optimized crystal structure of Sr2GeB, from the Alexandria database.

Computed properties:
- D(E_F) (states/eV/atom) = 0.552
- formation energy from the elements (eV per atom) = 0.60
- ΔE to the lowest computed polymorph (meV per atom) = 290
- total DFT energy (no corrections) (eV/atom) = -3.0614

a b c (Å): 8.095 8.095 6.734
angles (deg): 53.05 53.05 90.00
Element x y z (fractional)
Sr1 0.875 0.837 0.750
Sr2 0.587 0.125 0.250
Sr3 0.163 0.625 0.250
Sr4 0.375 0.413 0.750
Ge1 0.000 0.000 0.000
Ge2 0.750 0.250 0.500
B1 0.500 0.500 0.000
B2 0.250 0.750 0.500

[2]
The following is a PBE-GGA calculation of an optimized crystal structure of SrGe3B, from the Alexandria database.

Computed properties:
- D(E_F) (states/eV/atom) = 1.634
- formation energy from the elements (eV per atom) = 2.09
- ΔE to the lowest computed polymorph (meV per atom) = 1756
- total DFT energy (no corrections) (eV/atom) = -2.3544

a b c (Å): 5.631 5.631 5.631
angles (deg): 90.00 90.00 90.00
Element x y z (fractional)
Ge1 0.000 0.000 0.500
Ge2 0.500 0.000 0.000
Ge3 0.000 0.500 0.000
Sr1 0.000 0.000 0.000
B1 0.500 0.500 0.500

[3]
The following is a PBE-GGA calculation of an optimized crystal structure of SrGeB3, from the Alexandria database.

Computed properties:
- D(E_F) (states/eV/atom) = 0.717
- formation energy from the elements (eV per atom) = 2.84
- ΔE to the lowest computed polymorph (meV per atom) = 1549
- total DFT energy (no corrections) (eV/atom) = -2.4313

a b c (Å): 4.867 4.867 4.867
angles (deg): 90.00 90.00 90.00
Element x y z (fractional)
Sr1 0.000 0.000 0.000
Ge1 0.500 0.500 0.500
B1 0.000 0.500 0.000
B2 0.000 0.000 0.500
B3 0.500 0.000 0.000

[4]
The following is a PBE-GGA calculation of an optimized crystal structure of Sr2GeB, from the Alexandria database.

Computed properties:
- D(E_F) (states/eV/atom) = 0.801
- formation energy from the elements (eV per atom) = 0.31
- ΔE to the lowest computed polymorph (meV per atom) = 0
- total DFT energy (no corrections) (eV/atom) = -3.3509

a b c (Å): 5.246 5.246 5.246
angles (deg): 60.00 60.00 60.00
Element x y z (fractional)
Ge1 0.500 0.500 0.500
B1 0.000 0.000 0.000
Sr1 0.750 0.750 0.750
Sr2 0.250 0.250 0.250

[5]
The following is a PBE-GGA calculation of an optimized crystal structure of SrGe3B, from the Alexandria database.

Computed properties:
- D(E_F) (states/eV/atom) = 0.348
- formation energy from the elements (eV per atom) = 0.33
- ΔE to the lowest computed polymorph (meV per atom) = 0
- total DFT energy (no corrections) (eV/atom) = -4.1107

a b c (Å): 4.660 4.660 4.660
angles (deg): 90.00 90.00 90.00
Element x y z (fractional)
Ge1 0.000 0.000 0.500
Ge2 0.500 0.000 0.000
Ge3 0.000 0.500 0.000
Sr1 0.500 0.500 0.500
B1 0.000 0.000 0.000

[6]
The following is a PBE-GGA calculation of an optimized crystal structure of SrGeB3, from the Alexandria database.

Computed properties:
- D(E_F) (states/eV/atom) = 0.427
- formation energy from the elements (eV per atom) = 1.29
- ΔE to the lowest computed polymorph (meV per atom) = 0
- total DFT energy (no corrections) (eV/atom) = -3.9802

a b c (Å): 4.291 4.291 4.291
angles (deg): 90.00 90.00 90.00
Element x y z (fractional)
Sr1 0.500 0.500 0.500
Ge1 0.000 0.000 0.000
B1 0.000 0.000 0.500
B2 0.500 0.000 0.000
B3 0.000 0.500 0.000

[7]
The following is a PBE-GGA calculation of an optimized crystal structure of SrTlGeB2, from the Alexandria database.

Computed properties:
- D(E_F) (states/eV/atom) = 0.527
- formation energy from the elements (eV per atom) = 1.19
- total DFT energy (no corrections) (eV/atom) = -3.2130

a b c (Å): 4.415 5.812 4.415
angles (deg): 90.00 90.00 90.00
Element x y z (fractional)
Ge1 0.000 0.000 0.000
B1 0.500 0.000 0.000
B2 0.000 0.000 0.500
Tl1 0.500 0.500 0.500
Sr1 0.000 0.500 0.000

[8]
The following is a PBE-GGA calculation of an optimized crystal structure of TaGeB3, from the Alexandria database.

Computed properties:
- D(E_F) (states/eV/atom) = 0.711
- formation energy from the elements (eV per atom) = 1.84
- ΔE to the lowest computed polymorph (meV per atom) = 382
- total DFT energy (no corrections) (eV/atom) = -5.4585

a b c (Å): 3.981 3.981 3.981
angles (deg): 90.00 90.00 90.00
Element x y z (fractional)
B1 0.000 0.500 0.000
B2 0.500 0.000 0.000
B3 0.000 0.000 0.500
Ta1 0.500 0.500 0.500
Ge1 0.000 0.000 0.000